## Al2FeB2 (meta-GGA SCAN)

Data for a PBEsol-optimized structure of Al2FeB2.

a b c (Å): 3.1336 5.4857 5.4857
angles (deg): 90.00 90.00 90.00
Closest atoms and distances in Å follow each position.
Element x y z (fractional)
B 0.0000 0.3899 0.8899  1 B 1.71
B 0.0000 0.8899 0.6101  1 B 1.71
B 0.0000 0.6101 0.1101  1 B 1.71
B 0.0000 0.1101 0.3899  1 B 1.71
Fe 0.0000 0.0000 0.0000  4 B 2.22
Fe 0.0000 0.5000 0.5000  4 B 2.22
Al 0.5000 0.1847 0.6847  6 B 2.23-2.29
Al 0.5000 0.6847 0.8153  6 B 2.23-2.29
Al 0.5000 0.8153 0.3153  6 B 2.23-2.29
Al 0.5000 0.3153 0.1847  6 B 2.23-2.29

## Properties
Formation energy, eV per atom: -0.190
Space-group type: P4/mbm (127)